# 1
LiNi15Ge4 | PBE | relaxed

Cell and atoms, written as POSCAR:
```
LiNi15Ge4
1.0
-0.753 3.221 -1.361
-2.836 -1.377 -1.690
-10.144 3.586 14.105
Ni Ge Li
15 4 1
Direct
0.000 0.500 0.098
0.000 0.500 0.701
0.500 0.000 0.701
0.500 0.000 0.098
0.500 0.500 0.600
0.500 0.500 0.000
0.500 0.500 0.400
0.500 0.000 0.500
0.000 0.500 0.299
0.000 0.500 0.902
0.500 0.000 0.902
0.500 0.500 0.199
0.000 0.500 0.500
0.500 0.500 0.801
0.500 0.000 0.299
0.000 0.000 0.196
0.000 0.000 0.399
0.000 0.000 0.804
0.000 0.000 0.601
0.000 0.000 0.000
```

Summary:
**Symmetry**: P4/mmm (123)
**Size of the total moment**: 2.0 μB per formula unit
**Volume**: 227 Å³/cell

=====

# 2
LiNi2Ge | PBE | relaxed

Cell and atoms, written as POSCAR:
```
LiNi2Ge
1.0
6.462 0.000 0.000
0.000 6.462 0.000
3.231 3.231 2.542
Li Ni Ge
2 4 2
Direct
0.250 0.750 0.500
0.500 0.500 0.000
0.875 0.892 0.750
0.375 0.358 0.750
0.108 0.625 0.250
0.642 0.125 0.250
0.000 0.000 0.000
0.750 0.250 0.500
```

Summary:
**Symmetry**: I-42d (122)
**Size of the total moment**: 0.0 μB per formula unit
**Volume**: 106 Å³/cell

=====

# 3
Li2Ni3Ge2 | PBE | relaxed

Cell and atoms, written as POSCAR:
```
Li2Ni3Ge2
1.0
-1.970 -1.327 -3.278
3.972 0.661 -0.135
1.130 -5.408 4.043
Ni Li Ge
3 2 2
Direct
0.000 0.000 0.000
0.445 0.723 0.166
0.555 0.277 0.834
0.273 0.137 0.409
0.727 0.863 0.591
0.189 0.593 0.784
0.811 0.407 0.216
```

Summary:
**E above lowest polymorph**: 0.0000 eV per atom
**Symmetry**: P-1 (2)
**Size of the total moment**: 0.0 μB per formula unit
**Volume**: 91 Å³/cell

=====

# 4
Li3Ni7Ge2 | PBE | relaxed

Cell and atoms, written as POSCAR:
```
Li3Ni7Ge2
1.0
-0.705 4.062 -2.773
2.012 0.293 -4.534
-5.753 -1.633 -5.382
Ge Ni Li
2 7 3
Direct
0.666 0.666 0.002
0.334 0.334 0.998
0.584 0.584 0.750
0.500 0.500 0.500
0.416 0.416 0.250
0.919 0.416 0.250
0.584 0.081 0.750
0.081 0.584 0.750
0.416 0.919 0.250
0.141 0.141 0.578
0.859 0.859 0.422
0.000 0.000 0.000
```

Summary:
**Symmetry**: R-3m (166)
**Size of the total moment**: 0.0 μB per formula unit
**Volume**: 161 Å³/cell

=====

Number 1: calculated formation energy -217 meV per atom. Number 2: calculated formation energy 48 meV per atom. Number 3: calculated formation energy -368 meV per atom. Number 4: calculated formation energy -115 meV per atom.